## ZrPa3S6 (PBE)

Data for a relaxed structure of ZrPa3S6.

Properties
crystal system = trigonal
electronic total energy = -7.705 eV/atom
E_form (uncorrected) = -1.525 eV per atom

Structure (CIF):
```
data_ZrPa3S6
_space_group_name_H-M_alt 'R -3'
_space_group_IT_number 148
_space_group_name_Hall '-R 3'
_cell_length_a 11.9005
_cell_length_b 11.9005
_cell_length_c 11.1290
_cell_angle_alpha 90.00
_cell_angle_beta 90.00
_cell_angle_gamma 120.00
loop_
_atom_site_label
_atom_site_type_symbol
_atom_site_fract_x
_atom_site_fract_y
_atom_site_fract_z
Zr1 Zr 0.0000 0.0000 0.0000
Zr2 Zr 0.0000 0.0000 0.5000
Pa1 Pa 0.0504 0.7709 0.1477
S1 S 0.0342 0.8248 0.8928
S2 S 0.0541 0.8507 0.3797
```